Density functional theory data (PBE) for a geometry-optimized Rb2ZrAu2 structure.

Values from the calculation:
SG: P4/mbm, No. 127
Relative energy among the computed polymorphs: 0 meV/atom
Magnetic moment: 0.49 μB per formula unit
N(E_F): 10.604 states/eV/cell

Cell: 9.6473 9.6473 3.1247 Å, 90.00 90.00 90.00°
Fractional coordinates of all 10 atoms:
Rb 0.1202 0.3798 0.0000
Rb 0.3798 0.8798 0.0000
Rb 0.6202 0.1202 0.0000
Rb 0.8798 0.6202 0.0000
Zr 0.0000 0.0000 0.0000
Zr 0.5000 0.5000 0.0000
Au 0.1835 0.6835 0.5000
Au 0.3165 0.1835 0.5000
Au 0.6835 0.8165 0.5000
Au 0.8165 0.3165 0.5000